## CaLa3P2N6 (PBE-GGA)

Data for an optimized crystal structure of CaLa3P2N6.

The structure in POSCAR format:
```
CaLa3P2N6
1.0
-1.218 4.495 -3.484
-0.539 -5.442 -1.979
-6.099 -0.117 1.982
P N La Ca
2 6 3 1
direct
0.333 0.667 0.181
0.667 0.333 0.819
0.818 0.637 0.719
0.637 0.818 0.281
0.818 0.182 0.719
0.182 0.818 0.281
0.182 0.363 0.281
0.363 0.182 0.719
0.333 0.667 0.649
0.000 0.000 0.000
0.667 0.333 0.351
0.000 0.000 0.500
```

Output
- uncorrected formation energy (eV/atom) = -1.078
- calculated total energy (eV/f.u.) = -90.5
- SG = P-3m1, No. 164